# 1
# ErZnSi4 PBE optimized geometry
# D(E_F): 1.42 states/eV/f.u.
# Formation energy from raw total energies: -0.125 eV/atom
# Total DFT energy (no corrections): -4.7130 eV per atom
data_ErZnSi4
_cell_length_a 7.3425
_cell_length_b 7.3425
_cell_length_c 7.3425
_cell_angle_alpha 90.00
_cell_angle_beta 90.00
_cell_angle_gamma 90.00
_symmetry_space_group_name_H-M 'F -4 3 m'
_symmetry_Int_Tables_number 216
_symmetry_space_group_name_Hall 'F -4 2 3'
loop_
_atom_site_label
_atom_site_type_symbol
_atom_site_fract_x
_atom_site_fract_y
_atom_site_fract_z
Er1 Er 0.0000 0.0000 0.0000
Zn1 Zn 0.2500 0.2500 0.7500
Si1 Si 0.1243 0.1243 0.3757

---

# 2
# PmNd2Dy5Er PBE optimized geometry
# D(E_F): 10.97 states/eV/f.u.
# Formation enthalpy at 0 K: 269.7 meV per atom
# Total DFT energy (no corrections): -4.3814 eV per atom
data_PmNd2Dy5Er
_cell_length_a 8.7033
_cell_length_b 8.7033
_cell_length_c 15.6010
_cell_angle_alpha 90.00
_cell_angle_beta 90.00
_cell_angle_gamma 90.00
_symmetry_space_group_name_H-M 'I 4/m c m'
_symmetry_Int_Tables_number 140
_symmetry_space_group_name_Hall '-I 4 2c'
loop_
_atom_site_label
_atom_site_type_symbol
_atom_site_fract_x
_atom_site_fract_y
_atom_site_fract_z
Pm1 Pm 0.0000 0.0000 0.2500
Nd1 Nd 0.1174 0.3826 0.0000
Dy1 Dy 0.0000 0.0000 0.0000
Dy2 Dy 0.2110 0.2890 0.3612
Er1 Er 0.0000 0.5000 0.2500

---

# 3
# Mg3Co PBE optimized geometry
# D(E_F): 3.43 states/eV/f.u.
# Formation enthalpy at 0 K: 160.5 meV per atom
# Total DFT energy (no corrections): -2.8120 eV per atom
data_Mg3Co
_cell_length_a 6.5105
_cell_length_b 6.5105
_cell_length_c 6.5105
_cell_angle_alpha 90.00
_cell_angle_beta 90.00
_cell_angle_gamma 90.00
_symmetry_space_group_name_H-M 'F m -3 m'
_symmetry_Int_Tables_number 225
_symmetry_space_group_name_Hall '-F 4 2 3'
loop_
_atom_site_label
_atom_site_type_symbol
_atom_site_fract_x
_atom_site_fract_y
_atom_site_fract_z
Mg1 Mg 0.0000 0.0000 0.0000
Mg2 Mg 0.2500 0.2500 0.2500
Co1 Co 0.0000 0.0000 0.5000

---

# 4
# SrBPt PBE optimized geometry
# Polymorph energy (0 for the lowest one): 82 meV per atom
# D(E_F): 1.30 states/eV/f.u.
# Formation enthalpy at 0 K: -353.1 meV per atom
# Total DFT energy (no corrections): -5.1531 eV per atom
data_SrBPt
_cell_length_a 4.5000
_cell_length_b 4.6458
_cell_length_c 13.5345
_cell_angle_alpha 90.00
_cell_angle_beta 90.00
_cell_angle_gamma 90.00
_symmetry_space_group_name_H-M 'I m m m'
_symmetry_Int_Tables_number 71
_symmetry_space_group_name_Hall '-I 2 2'
loop_
_atom_site_label
_atom_site_type_symbol
_atom_site_fract_x
_atom_site_fract_y
_atom_site_fract_z
Sr1 Sr 0.0000 0.0000 0.1456
B1 B 0.1782 0.5000 0.0000
Pt1 Pt 0.0000 0.0000 0.3925

---

# 5
# HoIn2Cu PBE optimized geometry
# D(E_F): 1.68 states/eV/f.u.
# Formation enthalpy at 0 K: -210.7 meV per atom
# Total DFT energy (no corrections): -3.7484 eV per atom
data_HoIn2Cu
_cell_length_a 4.4723
_cell_length_b 4.4723
_cell_length_c 15.9194
_cell_angle_alpha 90.00
_cell_angle_beta 90.00
_cell_angle_gamma 120.00
_symmetry_space_group_name_H-M 'R -3 m'
_symmetry_Int_Tables_number 166
_symmetry_space_group_name_Hall '-R 3 2"'
loop_
_atom_site_label
_atom_site_type_symbol
_atom_site_fract_x
_atom_site_fract_y
_atom_site_fract_z
Ho1 Ho 0.0000 0.0000 0.0000
In1 In 0.0000 0.0000 0.2207
Cu1 Cu 0.0000 0.0000 0.5000

---

# 6
# Ca2MgCu9 PBE optimized geometry
# Polymorph energy (0 for the lowest one): 5 meV per atom
# D(E_F): 4.85 states/eV/f.u.
# Formation enthalpy at 0 K: -70.8 meV per atom
# Total DFT energy (no corrections): -3.6094 eV per atom
data_Ca2MgCu9
_cell_length_a 5.1339
_cell_length_b 5.1339
_cell_length_c 24.7847
_cell_angle_alpha 90.00
_cell_angle_beta 90.00
_cell_angle_gamma 120.00
_symmetry_space_group_name_H-M 'R -3 m'
_symmetry_Int_Tables_number 166
_symmetry_space_group_name_Hall '-R 3 2"'
loop_
_atom_site_label
_atom_site_type_symbol
_atom_site_fract_x
_atom_site_fract_y
_atom_site_fract_z
Ca1 Ca 0.0000 0.0000 0.1368
Mg1 Mg 0.0000 0.0000 0.0000
Cu1 Cu 0.0000 0.0000 0.3327
Cu2 Cu 0.0000 0.0000 0.5000
Cu3 Cu 0.9997 0.4999 0.0801